Below is a geometry-optimized AcTaCd2O6 structure, with properties calculated at the PBE level.

Uncorrected formation energy = -52.2 kcal/mol of atoms
Total moment = 0.000 μB per formula unit
Calculated volume = 15.0 Å³/atom

```
AcTaCd2O6
1.0
2.911 1.681 5.101
-2.911 1.681 5.101
0.000 -3.362 5.101
Ac Ta Cd O
1 1 2 6
Cartesian
0.000 0.000 0.000 Ac
0.000 0.000 7.493 Ta
0.000 0.000 4.187 Cd
0.000 0.000 11.831 Cd
-1.552 -0.054 6.106 O
-0.968 -1.436 8.448 O
0.823 -1.317 6.106 O
-0.760 1.556 8.448 O
0.729 1.371 6.106 O
1.727 -0.120 8.448 O
```